Below is an optimized crystal structure of Li2TlIn6, with properties calculated at the PBE-GGA level.

For the density of states at the Fermi level, the calculation gives 3.22 states/eV per cell. The formation energy from the elements comes out at -91 meV per atom. As for the volume: 24.8 Å³ per atom. The space-group type is C2/m (12).

Cell lengths 4.576, 7.323, 7.337 Å; angles 106.61, 108.17, 90.00 degrees
Positions (direct):
Li (0.057, 0.826, 0.114)
In (0.395, 0.852, 0.789)
In (0.273, 0.161, 0.546)
In (0.605, 0.148, 0.211)
Tl (0.500, 0.500, 0.000)
In (0.167, 0.500, 0.333)
Li (0.943, 0.174, 0.886)
In (0.833, 0.500, 0.667)
In (0.727, 0.839, 0.454)